Compound: TcP2Rh
Source: Alexandria
Functional: GGA-PBE
Structure: optimized geometry

Cell and atoms, written as POSCAR:
```
TcP2Rh
1.0
-3.4687 0.5436 2.2244
2.1005 -0.8525 3.4837
0.6653 2.9412 0.3186
Tc P Rh
1 2 1
Cartesian
1.3829 1.0444 1.9012 Tc
-0.6841 -0.1544 2.8541 P
0.0000 0.0000 0.0000 P
-1.4017 1.7424 1.2715 Rh
```

## Properties
Energy above the most stable polymorph in this dataset ... 160 meV per atom
Symmetry ... P4/mmm (123)
ΔE_f ... -0.277 eV per atom
Raw total energy ... -7.411 eV per atom